## CsAg5I8 (GGA-PBE)

Data for a geometry-optimized CsAg5I8 structure.

Cell: 13.048 13.048 13.048 Å, 90.00 90.00 90.00°
Space group F-43m (No. 216)
One atom of each set of equivalent atoms:
1 Cs 0.000 0.000 0.000 x4
2 Ag 0.122 0.122 0.378 x16
3 Ag 0.250 0.250 0.750 x4
4 I 0.117 0.117 0.617 x16
5 I 0.148 0.148 0.148 x16

Magnetization: 0.07 Bohr magnetons per cell
Formation energy without anion corrections: -0.216 eV/atom
Crystal system: cubic